! Sr2CoRh | the Alexandria database | PBE | relaxed; values from VASP
&SYSTEM
  ibrav = 0, nat = 4, ntyp = 3
/
ATOMIC_SPECIES
Sr 87.62 Sr.upf
Co 58.93 Co.upf
Rh 102.91 Rh.upf
ATOMIC_POSITIONS angstrom
Sr 1.6818 0.0000 1.8333
Sr 5.0944 0.0000 6.0128
Co -0.5970 0.0000 3.9231
Rh 3.9851 0.0000 0.0000
CELL_PARAMETERS angstrom
3.9851 -1.6898 0.0000
3.9851 1.6898 0.0000
-1.1940 0.0000 7.8462
! **DOS(E_F)**: 5.464 states/eV/f.u.
! **Space group**: C2/m
! **Magnetic moment**: 1.53 μB/cell
! **Energy relative to the lowest polymorph listed for this composition**: 0.540 eV per atom
! **Calculated formation energy**: 0.53 eV per atom